PRhSeBr2 at its PBEsol-relaxed geometry. Source: Alexandria, functional meta-GGA SCAN.

Calculated values
The calculation puts the calculated total energy at -100.1 eV per formula unit. The calculation puts the density of states at the Fermi level at 2.65 states/eV per cell. The energy relative to the elements, uncorrected is 0.614 eV/atom. Its spin magnetization is 0.85 μB per formula unit.

Cell lengths 4.8714, 4.8714, 4.7774 Å; angles 90.00, 90.00, 90.00 degrees
Closest atoms and distances in Å follow each position.
Sites, in units of the cell vectors:
P 0.0000 0.0000 0.0000  8 Br 3.41, 4 Se 3.44
Rh 0.5000 0.5000 0.5000  2 Se 2.39, 4 Br 2.44
Se 0.5000 0.5000 0.0000  2 Rh 2.39
Br 0.0000 0.5000 0.5000  2 Rh 2.44
Br 0.5000 0.0000 0.5000  2 Rh 2.44